(1)
This record from the Alexandria database describes a relaxed Dy6In10Co crystal. The functional is PBE.

Geometry as CIF:
```
data_Dy6In10Co
_cell_length_a 9.0485
_cell_length_b 9.0485
_cell_length_c 6.0949
_cell_angle_alpha 90.00
_cell_angle_beta 90.00
_cell_angle_gamma 120.00
_symmetry_space_group_name_H-M 'P -3 1 m'
_symmetry_Int_Tables_number 162
_symmetry_space_group_name_Hall '-P 3 2'
loop_
_atom_site_label
_atom_site_type_symbol
_atom_site_fract_x
_atom_site_fract_y
_atom_site_fract_z
Dy1 Dy 0.0000 0.3876 0.2747
In1 In 0.0000 0.2310 0.7904
In2 In 0.3333 0.6667 0.0000
In3 In 0.3333 0.6667 0.5000
Co1 Co 0.0000 0.0000 0.5000
```

Summary:
Crystal system: trigonal
N(E_F): 12.9 states/eV per cell
VASP energy: -3.91 eV/atom
Total moment: 0.00 μB/atom
ΔE_f: -0.26 eV per atom
Calculated density: 8.38 Mg/m³



(2)
This record from the Alexandria database describes a relaxed Dy3In2Co2 crystal. The functional is PBE.

Geometry as CIF:
```
data_Dy3In2Co2
_cell_length_a 3.7795
_cell_length_b 21.8582
_cell_length_c 3.7989
_cell_angle_alpha 90.00
_cell_angle_beta 90.00
_cell_angle_gamma 90.00
_symmetry_space_group_name_H-M 'C m m m'
_symmetry_Int_Tables_number 65
_symmetry_space_group_name_Hall '-C 2 2'
loop_
_atom_site_label
_atom_site_type_symbol
_atom_site_fract_x
_atom_site_fract_y
_atom_site_fract_z
Dy1 Dy 0.0000 0.0000 0.0000
Dy2 Dy 0.0000 0.1776 0.0000
In1 In 0.0000 0.4104 0.5000
Co1 Co 0.0000 0.2784 0.5000
```

Summary:
Crystal system: orthorhombic
N(E_F): 12.6 states/eV per cell
VASP energy: -5.17 eV/atom
Total moment: 0.19 μB/atom
ΔE_f: -0.39 eV per atom
Calculated density: 8.84 Mg/m³



(3)
This record from the Alexandria database describes a relaxed DyIn2Co crystal. The functional is PBE.

Geometry as CIF:
```
data_DyIn2Co
_cell_length_a 3.5220
_cell_length_b 3.5220
_cell_length_c 25.4273
_cell_angle_alpha 90.00
_cell_angle_beta 90.00
_cell_angle_gamma 120.00
_symmetry_space_group_name_H-M 'R -3 m'
_symmetry_Int_Tables_number 166
_symmetry_space_group_name_Hall '-R 3 2"'
loop_
_atom_site_label
_atom_site_type_symbol
_atom_site_fract_x
_atom_site_fract_y
_atom_site_fract_z
Dy1 Dy 0.0000 0.0000 0.0000
In1 In 0.0000 0.0000 0.2332
Co1 Co 0.0000 0.0000 0.5000
```

Summary:
Crystal system: trigonal
N(E_F): 13.2 states/eV per cell
VASP energy: -4.21 eV/atom
Total moment: 0.27 μB/atom
ΔE_f: 0.09 eV per atom
Calculated density: 8.23 Mg/m³



Number 1: calculated volume 25.4 Å³ per atom. Number 2: calculated volume 22.4 Å³ per atom. Number 3: calculated volume 22.8 Å³ per atom.